Compound: TlAuC
Source: Alexandria
Functional: PBE
Structure: optimized geometry

* uncorrected energy: -4.466 eV per atom
* density of states at the Fermi level: 0.463 states/eV/f.u.
* space-group type: No. 8
* E_form: 47.22 kJ per mole of atoms

Lattice parameters (Å, degrees): 5.3726 5.5811 7.7039 68.70 45.42 89.97
With the nearest neighbours (Å) after each atom.
Element x y z (fractional)
Tl (0.9928, 0.9924, 0.3201)  6 Au 3.15-3.20
Tl (0.8271, 0.6587, 0.9864)  2 Au 2.69
Au (0.6622, 0.3264, 0.6519)  2 C 2.06
Au (0.3266, 0.6591, 0.9869)  2 Tl 2.69
C (0.0441, 0.3261, 0.6526)  1 C 1.26
C (0.2787, 0.3261, 0.6528)  1 C 1.26



Compound: TlInAu
Source: Alexandria
Functional: PBE
Structure: optimized geometry

* uncorrected energy: -2.833 eV per atom
* density of states at the Fermi level: 0.815 states/eV/f.u.
* space-group type: No. 156
* E_form: -3.73 kJ per mole of atoms
* excess energy over the best structure of this formula in the dataset: 0.081 eV/atom

Lattice parameters (Å, degrees): 4.7869 4.7869 3.9532 90.00 90.00 120.00
With the nearest neighbours (Å) after each atom.
Element x y z (fractional)
Au (0.0000, 0.0000, 0.0708)  3 In 2.84, 3 Tl 3.13
In (0.6667, 0.3333, 0.2310)  3 Au 2.84
Tl (0.3333, 0.6667, 0.6982)  3 Au 3.13, 6 In 3.32-3.47



Compound: PrDy6Y2Mg
Source: Alexandria
Functional: PBE
Structure: optimized geometry

* uncorrected energy: -4.576 eV per atom
* density of states at the Fermi level: 15.701 states/eV/f.u.
* space-group type: No. 15
* E_form: 11.12 kJ per mole of atoms

Lattice parameters (Å, degrees): 6.6807 10.8381 10.8381 124.79 85.84 85.84
With the nearest neighbours (Å) after each atom.
Element x y z (fractional)
Pr (0.2500, 0.9881, 0.0119)  4 Dy 3.22-3.44, 2 Pr 3.37, 4 Y 3.43-3.57
Pr (0.7500, 0.0119, 0.9881)  4 Dy 3.22-3.44, 2 Pr 3.37, 4 Y 3.43-3.57
Dy (0.0408, 0.0733, 0.7841)  2 Pr 3.22-3.44, 1 Mg 3.29, 5 Dy 3.33-3.50, 2 Y 3.51-3.58
Dy (0.4592, 0.2159, 0.9267)  2 Pr 3.22-3.44, 1 Mg 3.29, 5 Dy 3.33-3.50, 2 Y 3.51-3.58
Dy (0.9592, 0.9267, 0.2159)  2 Pr 3.22-3.44, 1 Mg 3.29, 5 Dy 3.33-3.50, 2 Y 3.51-3.58
Dy (0.5408, 0.7841, 0.0733)  2 Pr 3.22-3.44, 1 Mg 3.29, 5 Dy 3.33-3.50, 2 Y 3.51-3.58
Dy (0.2859, 0.9141, 0.4293)  6 Dy 3.34-3.57, 2 Mg 3.37-3.40, 1 Y 3.50
Dy (0.2141, 0.5707, 0.0859)  6 Dy 3.34-3.57, 2 Mg 3.37-3.40, 1 Y 3.50
Dy (0.7141, 0.0859, 0.5707)  6 Dy 3.34-3.57, 2 Mg 3.37-3.40, 1 Y 3.50
Dy (0.7859, 0.4293, 0.9141)  6 Dy 3.34-3.57, 2 Mg 3.37-3.40, 1 Y 3.50
Dy (0.0224, 0.6924, 0.5175)  1 Mg 3.22, 3 Dy 3.42-3.57, 3 Y 3.49-3.54
Dy (0.4776, 0.4825, 0.3076)  1 Mg 3.22, 3 Dy 3.42-3.57, 3 Y 3.49-3.54
Dy (0.9776, 0.3076, 0.4825)  1 Mg 3.22, 3 Dy 3.42-3.57, 3 Y 3.49-3.54
Dy (0.5224, 0.5175, 0.6924)  1 Mg 3.22, 3 Dy 3.42-3.57, 3 Y 3.49-3.54
Y (0.5061, 0.8217, 0.6553)  2 Pr 3.43-3.57, 8 Dy 3.49-3.79, 1 Mg 3.59
Y (0.9939, 0.3447, 0.1783)  2 Pr 3.43-3.57, 8 Dy 3.49-3.79, 1 Mg 3.59
Y (0.4939, 0.1783, 0.3447)  2 Pr 3.43-3.57, 8 Dy 3.49-3.79, 1 Mg 3.59
Y (0.0061, 0.6553, 0.8217)  2 Pr 3.43-3.57, 8 Dy 3.49-3.79, 1 Mg 3.59
Mg (0.2500, 0.2920, 0.7080)  8 Dy 3.22-3.40, 2 Y 3.59
Mg (0.7500, 0.7080, 0.2920)  8 Dy 3.22-3.40, 2 Y 3.59